## CsK2PaO4 (PBE)

Data for crystalline CsK2PaO4 at its relaxed geometry.

```
8
Lattice="3.6751 0.0000 0.0000 1.8376 6.1119 1.6031 1.8376 3.2650 8.4660" Properties=species:S:1:pos:R:3 pbc="T T T"
K 1.8376 2.3918 2.2308
K 5.5127 6.9852 7.8383
Pa 0.0000 0.0000 0.0000
O 5.5127 6.6387 3.5975
O 1.8376 2.7382 6.4716
O 3.6751 4.7174 1.9237
O 3.6751 4.6595 8.1454
Cs 3.6751 4.6885 5.0346
```

Properties
Its symmetry is C2/m. As for the density of states at the Fermi level: 0.00 states/eV/f.u. The value obtained for the energy relative to the elements, uncorrected is -2.429 eV/atom.